# PBE Dy12Er6In, optimized geometry
# Calculated formation energy = 0.07 eV/atom
# SG = R-3 (148)
# D(E_F) = 1.488 states/eV per atom
data_Dy12Er6In
_space_group_name_H-M_alt 'P 1'
_space_group_IT_number 1
_cell_length_a 8.4155
_cell_length_b 8.4155
_cell_length_c 8.4155
_cell_angle_alpha 88.74
_cell_angle_beta 88.74
_cell_angle_gamma 88.74
loop_
_space_group_symop_operation_xyz
'x,y,z'
loop_
_atom_site_label
_atom_site_fract_x
_atom_site_fract_y
_atom_site_fract_z
Dy1 0.0392 0.2810 0.9336
Dy2 0.0664 0.9608 0.7190
Dy3 0.1373 0.3174 0.4874
Dy4 0.2810 0.9336 0.0392
Dy5 0.3174 0.4874 0.1373
Dy6 0.4874 0.1373 0.3174
Dy7 0.5126 0.8627 0.6826
Dy8 0.6826 0.5125 0.8627
Dy9 0.7190 0.0664 0.9608
Dy10 0.8627 0.6826 0.5125
Dy11 0.9336 0.0392 0.2810
Dy12 0.9608 0.7190 0.0664
Er1 0.2074 0.5968 0.7581
Er2 0.2419 0.7926 0.4032
Er3 0.4032 0.2419 0.7926
Er4 0.5968 0.7581 0.2074
Er5 0.7581 0.2074 0.5968
Er6 0.7926 0.4032 0.2419
In1 0.5000 0.5000 0.5000